An optimized crystal structure of AcTmCr2O8, computed with PBE with a Hubbard U.

Cell: 5.6380 5.6380 7.2388 Å, 90.00 90.00 120.00°
Space group P-3m1 (No. 164)
Asymmetric unit:
Ac  0.0000  0.0000  0.0000 [1 per cell]
Tm  0.0000  0.0000  0.5000 [1 per cell]
Cr  0.3333  0.6667  0.7827 [2 per cell]
O  0.1633  0.3265  0.7114 [6 per cell]
O  0.3333  0.6667  0.0146 [2 per cell]

**DFT total energy**: -7.51 eV per atom
**D(E_F)**: 0.65 states/eV/atom
**Density**: 5232 kg/m³